Version P
# GGA-PBE BaPSeO2, relaxed
# N(E_F) (states/eV/f.u.): 2.82
data_BaPSeO2
_chemical_formula_sum 'Ba1 P1 Se1 O2'
_cell_length_a 4.346
_cell_length_b 4.346
_cell_length_c 8.379
_cell_angle_alpha 90.00
_cell_angle_beta 90.00
_cell_angle_gamma 90.00
_symmetry_space_group_name_H-M 'P 4/m m m'
_symmetry_Int_Tables_number 123
_symmetry_space_group_name_Hall '-P 4 2'
loop_
_atom_site_label
_atom_site_type_symbol
_atom_site_fract_x
_atom_site_fract_y
_atom_site_fract_z
Ba1 Ba 0.000 0.000 0.000
P1 P 0.000 0.000 0.500
Se1 Se 0.500 0.500 0.500
O1 O 0.000 0.500 0.000

Version Q
# GGA-PBE BaPSeO2, relaxed
# N(E_F) (states/eV/f.u.): 2.97
data_BaPSeO2
_chemical_formula_sum 'Ba1 P1 Se1 O2'
_cell_length_a 4.356
_cell_length_b 4.356
_cell_length_c 4.686
_cell_angle_alpha 90.00
_cell_angle_beta 90.00
_cell_angle_gamma 90.00
_symmetry_space_group_name_H-M 'P 4/m m m'
_symmetry_Int_Tables_number 123
_symmetry_space_group_name_Hall '-P 4 2'
loop_
_atom_site_label
_atom_site_type_symbol
_atom_site_fract_x
_atom_site_fract_y
_atom_site_fract_z
Ba1 Ba 0.000 0.000 0.000
P1 P 0.500 0.500 0.000
Se1 Se 0.500 0.500 0.500
O1 O 0.000 0.500 0.500

version Q is the most stable structure shown above.